VASP calculation (PBE) on a relaxed TbPr5Y crystal.

abc: 5.9802 8.1351 8.1351
angles: 66.25 68.50 68.50
Last column: nearest neighbours and their distance in Å.
Atoms (fractional coordinates):
Tb (0.0000, 0.0000, 0.0000)  6 Pr 2.87-3.04
Pr (0.7519, 0.2482, 0.2482)  1 Tb 3.04, 1 Y 3.09
Pr (0.0000, 0.3234, 0.6766)  1 Tb 2.87, 1 Pr 3.14
Pr (0.5000, 0.0000, 0.0000)  2 Tb 2.99
Pr (0.0000, 0.6766, 0.3234)  1 Tb 2.87, 1 Pr 3.14
Pr (0.2481, 0.7518, 0.7518)  1 Tb 3.04, 1 Y 3.09
Y (0.5000, 0.5000, 0.5000)  6 Pr 3.09-3.38

Values from the calculation:
* SG: C2/m, No. 12
* formation energy from the elements: 6.729 eV/f.u.
* magnetic moment: 0.00 μB/atom

VASP calculation (PBE) on a relaxed MnSe2Cl crystal.

abc: 6.5336 6.5336 6.6789
angles: 60.72 60.72 90.00
Last column: nearest neighbours and their distance in Å.
Atoms (fractional coordinates):
Mn (0.0000, 0.0000, 0.0000)  4 Se 2.30
Mn (0.7500, 0.2500, 0.5000)  4 Se 2.30
Se (0.7091, 0.1250, 0.2500)  2 Mn 2.30
Se (0.0409, 0.6250, 0.2500)  2 Mn 2.30
Se (0.3750, 0.2909, 0.7500)  2 Mn 2.30
Se (0.8750, 0.9591, 0.7500)  2 Mn 2.30
Cl (0.5000, 0.5000, 0.0000)  4 Se 2.98
Cl (0.2500, 0.7500, 0.5000)  4 Se 2.98

Values from the calculation:
* SG: I-42d, No. 122
* energy above the lowest structure with this stoichiometry: 1.61 eV/f.u.
* E_form (uncorrected): -0.063 eV/atom
* magnetic moment: 0.50 μB/atom

VASP calculation (PBE) on a relaxed LiPm2P3Pd4 crystal.

abc: 4.1803 4.1803 9.8870
angles: 90.00 90.00 90.00
Last column: nearest neighbours and their distance in Å.
Atoms (fractional coordinates):
Li (0.5000, 0.5000, 0.5000)  4 Pd 2.41
Pm (0.5000, 0.0000, 0.2435)  6 P 3.13-3.29, 8 Pd 3.19-3.24, 2 Li 3.29
Pm (0.0000, 0.5000, 0.7565)  6 P 3.13-3.29, 8 Pd 3.19-3.24, 2 Li 3.29
P (0.0000, 0.0000, 0.5000)  4 Pd 2.41
P (0.5000, 0.0000, 0.8590)  5 Pd 2.35-2.51
P (0.0000, 0.5000, 0.1410)  5 Pd 2.35-2.51
Pd (0.5000, 0.5000, 0.0000)  4 P 2.51
Pd (0.0000, 0.0000, 0.0000)  4 P 2.51
Pd (0.5000, 0.0000, 0.6211)  3 P 2.35-2.41, 2 Li 2.41
Pd (0.0000, 0.5000, 0.3789)  3 P 2.35-2.41, 2 Li 2.41

Values from the calculation:
* SG: P-4m2, No. 115
* formation energy from the elements: -9.638 eV/f.u.
* magnetic moment: 0.00 μB/atom